Material: CrNi2W
Method: DFT, GGA-PBE
State: relaxed

```
data_CrNi2W
_chemical_formula_sum 'Cr1 Ni2 W1'
_cell_length_a 2.577
_cell_length_b 3.755
_cell_length_c 5.116
_cell_angle_alpha 90.00
_cell_angle_beta 90.18
_cell_angle_gamma 90.00
_space_group_name_H-M_alt 'P 1 2/m 1'
_space_group_IT_number 10
_space_group_name_Hall '-P 2y'
loop_
_atom_site_label
_atom_site_fract_x
_atom_site_fract_y
_atom_site_fract_z
Cr1 0.000 0.000 0.000
Ni1 0.500 0.500 0.240
W1 0.000 0.000 0.500
```

As for the energy above the lowest structure with this stoichiometry: 46 meV per atom. The value obtained for the formation energy is 29 kJ/mol of formula units. Its volume is 12.38 Å³/atom.